Entry 1
## BeTlSi2 (PBE-GGA)

Data for a relaxed structure of BeTlSi2.

Its crystal system is cubic. The calculated volume comes out at 17.77 Å³ per atom.

It has space group F-43m (No. 216), with a = 6.5758 Å, b = 6.5758 Å, c = 6.5758 Å, α = 90.00°, β = 90.00° and γ = 90.00°. The asymmetric unit holds Be at (0.0000, 0.0000, 0.0000), Tl at (0.2500, 0.2500, 0.2500), Si at (0.0000, 0.0000, 0.5000) and Si at (0.2500, 0.2500, 0.7500).

Entry 2
## BeTlSi2 (PBE-GGA)

Data for a relaxed structure of BeTlSi2.

Its crystal system is tetragonal. The calculated volume comes out at 20.31 Å³ per atom.

It has space group I-42d (No. 122), with a = 4.7679 Å, b = 4.7679 Å, c = 14.2950 Å, α = 90.00°, β = 90.00° and γ = 90.00°. The asymmetric unit holds Be at (0.0000, 0.0000, 0.0000), Tl at (0.0000, 0.0000, 0.5000) and Si at (0.1143, 0.2500, 0.1250).

Which of them is most stable? Easy: entry 2.

Entry 1
## BeTlSi2 (PBE-GGA)

Data for a relaxed structure of BeTlSi2.

Its crystal system is cubic. The calculated volume comes out at 18.37 Å³ per atom.

It has space group Fm-3m (No. 225), with a = 6.6490 Å, b = 6.6490 Å, c = 6.6490 Å, α = 90.00°, β = 90.00° and γ = 90.00°. The asymmetric unit holds Be at (0.0000, 0.0000, 0.0000), Tl at (0.0000, 0.0000, 0.5000) and Si at (0.2500, 0.2500, 0.2500).

Entry 2
## BeTlSi2 (PBE-GGA)

Data for a relaxed structure of BeTlSi2.

Its crystal system is orthorhombic. The calculated volume comes out at 18.66 Å³ per atom.

It has space group Pmm2 (No. 25), with a = 3.1161 Å, b = 3.2148 Å, c = 7.4528 Å, α = 90.00°, β = 90.00° and γ = 90.00°. The asymmetric unit holds Be at (0.0000, 0.0000, 0.0000), Tl at (0.5000, 0.5000, 0.6985), Si at (0.0000, 0.0000, 0.3093) and Si at (0.5000, 0.5000, 0.1322).

Which of them is most stable? Easy: entry 2.

Entry 1
## BeTlSi3 (PBE-GGA)

Data for a relaxed structure of BeTlSi3.

Its crystal system is cubic. The calculated volume comes out at 18.12 Å³ per atom.

It has space group Pm-3m (No. 221), with a = 4.4916 Å, b = 4.4916 Å, c = 4.4916 Å, α = 90.00°, β = 90.00° and γ = 90.00°. The asymmetric unit holds Be at (0.0000, 0.0000, 0.0000), Tl at (0.5000, 0.5000, 0.5000) and Si at (0.0000, 0.0000, 0.5000).

Entry 2
## BeTlSi3 (PBE-GGA)

Data for a relaxed structure of BeTlSi3.

Its crystal system is cubic. The calculated volume comes out at 28.04 Å³ per atom.

It has space group Pm-3m (No. 221), with a = 5.1949 Å, b = 5.1949 Å, c = 5.1949 Å, α = 90.00°, β = 90.00° and γ = 90.00°. The asymmetric unit holds Be at (0.0000, 0.0000, 0.0000), Tl at (0.5000, 0.5000, 0.5000) and Si at (0.0000, 0.5000, 0.5000).

Which of them is most stable? Easy: entry 1.

Entry 1
## BeV2Si (PBE-GGA)

Data for a relaxed structure of BeV2Si.

Its crystal system is tetragonal. The calculated volume comes out at 11.86 Å³ per atom.

It has space group P4/mmm (No. 123), with a = 3.5602 Å, b = 3.5602 Å, c = 3.7428 Å, α = 90.00°, β = 90.00° and γ = 90.00°. The asymmetric unit holds Be at (0.0000, 0.0000, 0.0000), V at (0.0000, 0.5000, 0.5000) and Si at (0.5000, 0.5000, 0.0000).

Entry 2
## BeV2Si (PBE-GGA)

Data for a relaxed structure of BeV2Si.

Its crystal system is tetragonal. The calculated volume comes out at 12.59 Å³ per atom.

It has space group I-42d (No. 122), with a = 6.3806 Å, b = 6.3806 Å, c = 4.9477 Å, α = 90.00°, β = 90.00° and γ = 90.00°. The asymmetric unit holds Be at (0.0000, 0.0000, 0.0000), V at (0.2414, 0.2500, 0.1250) and Si at (0.0000, 0.0000, 0.5000).

Which of them is most stable? Easy: entry 1.

Entry 1
## BeV2Si (PBE-GGA)

Data for a relaxed structure of BeV2Si.

Its crystal system is cubic. The calculated volume comes out at 12.02 Å³ per atom.

It has space group Fm-3m (No. 225), with a = 5.7716 Å, b = 5.7716 Å, c = 5.7716 Å, α = 90.00°, β = 90.00° and γ = 90.00°. The asymmetric unit holds Be at (0.0000, 0.0000, 0.0000), V at (0.2500, 0.2500, 0.2500) and Si at (0.0000, 0.0000, 0.5000).

Entry 2
## BeV2Si (PBE-GGA)

Data for a relaxed structure of BeV2Si.

Its crystal system is tetragonal. The calculated volume comes out at 12.01 Å³ per atom.

It has space group P4/mmm (No. 123), with a = 3.1140 Å, b = 3.1140 Å, c = 4.9535 Å, α = 90.00°, β = 90.00° and γ = 90.00°. The asymmetric unit holds Be at (0.0000, 0.0000, 0.0000), V at (0.5000, 0.5000, 0.2461) and Si at (0.0000, 0.0000, 0.5000).

Which of them is most stable? Easy: entry 2.

Entry 1
## BeV3Si (PBE-GGA)

Data for a relaxed structure of BeV3Si.

Its crystal system is hexagonal. The calculated volume comes out at 12.62 Å³ per atom.

It has space group P6_3/mmc (No. 194), with a = 5.5860 Å, b = 5.5860 Å, c = 4.6693 Å, α = 90.00°, β = 90.00° and γ = 120.00°. The asymmetric unit holds Be at (0.0000, 0.0000, 0.0000), V at (0.1890, 0.3780, 0.2500) and Si at (0.3333, 0.6667, 0.7500).

Entry 2
## BeV3Si (PBE-GGA)

Data for a relaxed structure of BeV3Si.

Its crystal system is cubic. The calculated volume comes out at 13.32 Å³ per atom.

It has space group Pm-3m (No. 221), with a = 4.0534 Å, b = 4.0534 Å, c = 4.0534 Å, α = 90.00°, β = 90.00° and γ = 90.00°. The asymmetric unit holds Be at (0.0000, 0.0000, 0.0000), V at (0.0000, 0.0000, 0.5000) and Si at (0.5000, 0.5000, 0.5000).

Which of them is most stable? Easy: entry 1.

Entry 1
## BeVSi2 (PBE-GGA)

Data for a relaxed structure of BeVSi2.

Its crystal system is tetragonal. The calculated volume comes out at 13.00 Å³ per atom.

It has space group I-42d (No. 122), with a = 6.6050 Å, b = 6.6050 Å, c = 4.7672 Å, α = 90.00°, β = 90.00° and γ = 90.00°. The asymmetric unit holds Be at (0.0000, 0.0000, 0.0000), V at (0.0000, 0.0000, 0.5000) and Si at (0.2042, 0.2500, 0.1250).

Entry 2
## BeVSi2 (PBE-GGA)

Data for a relaxed structure of BeVSi2.

Its crystal system is trigonal. The calculated volume comes out at 12.40 Å³ per atom.

It has space group R-3m (No. 166, hexagonal axes), with a = 3.8558 Å, b = 3.8558 Å, c = 11.5561 Å, α = 90.00°, β = 90.00° and γ = 120.00°. The asymmetric unit holds Be at (0.0000, 0.0000, 0.0000), V at (0.0000, 0.0000, 0.5000) and Si at (0.0000, 0.0000, 0.2749).

Entry 3
## BeVSi2 (PBE-GGA)

Data for a relaxed structure of BeVSi2.

Its crystal system is tetragonal. The calculated volume comes out at 12.11 Å³ per atom.

It has space group P4/mmm (No. 123), with a = 3.1233 Å, b = 3.1233 Å, c = 4.9647 Å, α = 90.00°, β = 90.00° and γ = 90.00°. The asymmetric unit holds Be at (0.0000, 0.0000, 0.0000), V at (0.0000, 0.0000, 0.5000) and Si at (0.5000, 0.5000, 0.2426).

Which of them is most stable? Easy: entry 3.

Entry 1
## BeVSi3 (PBE-GGA)

Data for a relaxed structure of BeVSi3.

Its crystal system is cubic. The calculated volume comes out at 15.25 Å³ per atom.

It has space group Pm-3m (No. 221), with a = 4.2407 Å, b = 4.2407 Å, c = 4.2407 Å, α = 90.00°, β = 90.00° and γ = 90.00°. The asymmetric unit holds Be at (0.0000, 0.0000, 0.0000), V at (0.5000, 0.5000, 0.5000) and Si at (0.0000, 0.0000, 0.5000).

Entry 2
## BeVSi3 (PBE-GGA)

Data for a relaxed structure of BeVSi3.

Its crystal system is cubic. The calculated volume comes out at 19.05 Å³ per atom.

It has space group Pm-3m (No. 221), with a = 4.5665 Å, b = 4.5665 Å, c = 4.5665 Å, α = 90.00°, β = 90.00° and γ = 90.00°. The asymmetric unit holds Be at (0.0000, 0.0000, 0.0000), V at (0.5000, 0.5000, 0.5000) and Si at (0.0000, 0.5000, 0.5000).

Which of them is most stable? Easy: entry 1.